No. 1
The following is a GGA-PBE calculation of Al3IN after structural relaxation, from Alexandria via LeMat-Bulk.

M_tot, μB/f.u.: 0.00
Space group: Pm-3m
Total DFT energy (no corrections), eV per cell: -18.5
E above lowest polymorph, meV/atom: 0
Raw formation energy, eV/atom: 0.511

Unit cell a=4.500 b=4.500 c=4.500 alpha=90.00 beta=90.00 gamma=90.00
Positions (direct):
Al1 0.000 0.000 0.500
Al2 0.000 0.500 0.000
Al3 0.500 0.000 0.000
I1 0.500 0.500 0.500
N1 0.000 0.000 0.000

No. 2
The following is a GGA-PBE calculation of Al2IN after structural relaxation, from Alexandria via LeMat-Bulk.

M_tot, μB/f.u.: 0.00
Space group: Fm-3m
Total DFT energy (no corrections), eV per cell: -12.6
E above lowest polymorph, meV/atom: 1306
Raw formation energy, eV/atom: 1.199

Unit cell a=4.628 b=4.628 c=4.628 alpha=60.00 beta=60.00 gamma=60.00
Positions (direct):
Al1 0.250 0.250 0.250
Al2 0.750 0.750 0.750
I1 0.000 0.000 0.000
N1 0.500 0.500 0.500

No. 3
The following is a GGA-PBE calculation of AlIN2 after structural relaxation, from Alexandria via LeMat-Bulk.

M_tot, μB/f.u.: 0.00
Space group: Fm-3m
Total DFT energy (no corrections), eV per cell: -14.7
E above lowest polymorph, meV/atom: 1431
Raw formation energy, eV/atom: 1.804

Unit cell a=4.141 b=4.141 c=4.141 alpha=60.00 beta=60.00 gamma=60.00
Positions (direct):
Al1 0.000 0.000 0.000
I1 0.500 0.500 0.500
N1 0.250 0.250 0.250
N2 0.750 0.750 0.750

No. 4
The following is a GGA-PBE calculation of Al3IN after structural relaxation, from Alexandria via LeMat-Bulk.

M_tot, μB/f.u.: 0.00
Space group: Pm-3m
Total DFT energy (no corrections), eV per cell: -9.9
E above lowest polymorph, meV/atom: 1729
Raw formation energy, eV/atom: 2.241

Unit cell a=5.916 b=5.916 c=5.916 alpha=90.00 beta=90.00 gamma=90.00
Positions (direct):
Al1 0.000 0.000 0.500
Al2 0.000 0.500 0.000
Al3 0.500 0.000 0.000
I1 0.000 0.000 0.000
N1 0.500 0.500 0.500

No. 5
The following is a GGA-PBE calculation of AlI3N after structural relaxation, from Alexandria via LeMat-Bulk.

M_tot, μB/f.u.: 3.03
Space group: Pm-3m
Total DFT energy (no corrections), eV per cell: -12.7
E above lowest polymorph, meV/atom: 0
Raw formation energy, eV/atom: 0.810

Unit cell a=5.605 b=5.605 c=5.605 alpha=90.00 beta=90.00 gamma=90.00
Positions (direct):
Al1 0.000 0.000 0.000
I1 0.000 0.000 0.500
I2 0.000 0.500 0.000
I3 0.500 0.000 0.000
N1 0.500 0.500 0.500

No. 6
The following is a GGA-PBE calculation of AlI3N after structural relaxation, from Alexandria via LeMat-Bulk.

M_tot, μB/f.u.: 0.00
Space group: Pm-3m
Total DFT energy (no corrections), eV per cell: -12.4
E above lowest polymorph, meV/atom: 52
Raw formation energy, eV/atom: 0.861

Unit cell a=5.122 b=5.122 c=5.122 alpha=90.00 beta=90.00 gamma=90.00
Positions (direct):
Al1 0.000 0.000 0.000
I1 0.000 0.500 0.500
I2 0.500 0.000 0.500
I3 0.500 0.500 0.000
N1 0.500 0.500 0.500

No. 7
The following is a GGA-PBE calculation of AlI2N2 after structural relaxation, from Alexandria via LeMat-Bulk.

M_tot, μB/f.u.: 1.22
Space group: P4/mmm
Total DFT energy (no corrections), eV per cell: -15.0
E above lowest polymorph, meV/atom: 530
Raw formation energy, eV/atom: 1.704

Unit cell a=4.225 b=4.225 c=8.013 alpha=90.00 beta=90.00 gamma=90.00
Positions (direct):
Al1 0.000 0.000 0.000
I1 0.500 0.500 0.000
I2 0.500 0.500 0.500
N1 0.000 0.500 0.500
N2 0.500 0.000 0.500

No. 8
The following is a GGA-PBE calculation of Al2IN after structural relaxation, from Alexandria via LeMat-Bulk.

M_tot, μB/f.u.: 0.00
Space group: I-42d
Total DFT energy (no corrections), eV per cell: -35.6
E above lowest polymorph, meV/atom: 0
Raw formation energy, eV/atom: -0.107

Unit cell a=6.778 b=6.778 c=6.778 alpha=133.02 beta=133.02 gamma=68.62
Positions (direct):
Al1 0.375 0.175 0.300
Al2 0.825 0.125 0.200
Al3 0.875 0.075 0.700
Al4 0.925 0.625 0.800
I1 0.250 0.750 0.500
I2 0.500 0.500 0.000
N1 0.000 0.000 0.000
N2 0.750 0.250 0.500